Record 1
Here is a relaxed structure of CsSeIN2 from Alexandria. Energies are from GGA-PBE.

Structure (POSCAR):
```
CsSeIN2
1.0
4.913 0.000 0.000
0.000 4.913 0.000
0.000 0.000 5.873
Cs I Se N
1 1 1 2
Cartesian
2.456 2.456 2.937 Cs
0.000 0.000 2.937 I
0.000 0.000 0.000 Se
0.000 2.456 0.000 N
2.456 0.000 0.000 N
```

Uncorrected formation energy ... 1.3304 eV per atom
Crystal system ... tetragonal
Excess energy over the best structure of this formula in the dataset ... 0.0 kJ per mole of atoms
Space-group type ... No. 123

***

Record 2
Here is a relaxed structure of Cs2SeI6N from Alexandria. Energies are from GGA-PBE.

Structure (POSCAR):
```
Cs2SeI6N
1.0
8.011 0.000 0.000
0.000 8.011 0.000
4.006 4.006 5.636
Cs I Se N
2 6 1 1
Cartesian
8.011 4.006 2.818 Cs
4.006 8.011 2.818 Cs
4.006 4.006 2.660 I
8.011 8.011 2.976 I
2.117 2.117 0.000 I
5.894 5.894 0.000 I
5.894 2.117 0.000 I
2.117 5.894 0.000 I
0.000 0.000 0.000 Se
4.006 4.006 0.000 N
```

Uncorrected formation energy ... -0.2003 eV per atom
Crystal system ... tetragonal
Space-group type ... No. 139

***

Record 3
Here is a relaxed structure of CsSeIN2 from Alexandria. Energies are from GGA-PBE.

Structure (POSCAR):
```
CsSeIN2
1.0
4.493 0.000 0.000
0.000 4.493 0.000
0.000 0.000 7.608
Cs I Se N
1 1 1 2
Cartesian
0.000 0.000 0.000 Cs
2.247 2.247 3.804 I
0.000 0.000 3.804 Se
0.000 2.247 0.000 N
2.247 0.000 0.000 N
```

Uncorrected formation energy ... 2.1617 eV per atom
Crystal system ... tetragonal
Excess energy over the best structure of this formula in the dataset ... 80.2 kJ per mole of atoms
Space-group type ... No. 123

***

Record 4
Here is a relaxed structure of CsSiI2N from Alexandria. Energies are from GGA-PBE.

Structure (POSCAR):
```
CsSiI2N
1.0
-6.454 1.483 -1.040
-1.777 -4.440 4.697
0.179 2.445 2.379
Cs I Si N
1 2 1 1
Cartesian
-4.026 -0.255 3.018 Cs
-0.888 -2.220 2.349 I
-3.227 0.742 -0.520 I
0.000 0.000 0.000 Si
0.089 1.223 1.189 N
```

Uncorrected formation energy ... -0.2414 eV per atom
Crystal system ... tetragonal
Space-group type ... No. 123

***

Record 5
Here is a relaxed structure of Cs2SnI6N from Alexandria. Energies are from GGA-PBE.

Structure (POSCAR):
```
Cs2SnI6N
1.0
-3.751 8.462 -0.293
-3.070 -1.061 8.672
1.074 5.752 6.028
Cs I Sn N
2 6 1 1
Cartesian
-3.044 8.957 4.963 Cs
-2.703 4.196 9.445 Cs
-1.494 4.577 4.976 I
-4.253 8.576 9.433 I
-1.572 1.705 1.931 I
-5.249 5.696 6.449 I
-3.594 6.268 1.773 I
-3.227 1.133 6.607 I
0.000 0.000 0.000 Sn
-3.410 3.701 4.190 N
```

Uncorrected formation energy ... -0.3486 eV per atom
Crystal system ... tetragonal
Space-group type ... No. 139

***

Record 6
Here is a relaxed structure of CsSrIN2 from Alexandria. Energies are from GGA-PBE.

Structure (POSCAR):
```
CsSrIN2
1.0
4.775 0.000 0.000
0.000 4.775 0.000
0.000 0.000 6.696
Cs I N Sr
1 1 2 1
Cartesian
0.000 0.000 0.000 Cs
0.000 0.000 3.348 I
0.000 2.388 0.000 N
2.388 0.000 0.000 N
2.388 2.388 3.348 Sr
```

Uncorrected formation energy ... 1.2034 eV per atom
Crystal system ... tetragonal
Excess energy over the best structure of this formula in the dataset ... 73.4 kJ per mole of atoms
Space-group type ... No. 123

***

Record 7
Here is a relaxed structure of CsSrI2N from Alexandria. Energies are from GGA-PBE.

Structure (POSCAR):
```
CsSrI2N
1.0
6.628 0.000 0.000
0.000 6.628 0.000
0.000 0.000 5.194
Cs I N Sr
1 2 1 1
Cartesian
3.314 3.314 2.597 Cs
0.000 3.314 0.000 I
3.314 0.000 0.000 I
0.000 0.000 2.597 N
0.000 0.000 0.000 Sr
```

Uncorrected formation energy ... -0.6355 eV per atom
Crystal system ... tetragonal
Excess energy over the best structure of this formula in the dataset ... 0.0 kJ per mole of atoms
Space-group type ... No. 123

***

Record 8
Here is a relaxed structure of CsSrI2N from Alexandria. Energies are from GGA-PBE.

Structure (POSCAR):
```
CsSrI2N
1.0
6.850 0.000 0.000
0.000 6.850 0.000
0.000 0.000 4.684
Cs I N Sr
1 2 1 1
Cartesian
0.000 0.000 0.000 Cs
0.000 3.425 0.000 I
3.425 0.000 0.000 I
0.000 0.000 2.342 N
3.425 3.425 2.342 Sr
```

Uncorrected formation energy ... 0.2251 eV per atom
Crystal system ... tetragonal
Excess energy over the best structure of this formula in the dataset ... 83.0 kJ per mole of atoms
Space-group type ... No. 123

***

Record 9
Here is a relaxed structure of CsSrIN2 from Alexandria. Energies are from GGA-PBE.

Structure (POSCAR):
```
CsSrIN2
1.0
-5.128 1.434 0.205
-0.976 -2.861 -4.388
-1.343 -5.343 3.782
Cs I N Sr
1 1 2 1
Cartesian
-3.723 -3.385 -0.200 Cs
-0.672 -2.672 1.891 I
-0.488 -1.430 -2.194 N
-2.564 0.717 0.103 N
0.000 0.000 0.000 Sr
```

Uncorrected formation energy ... 0.4425 eV per atom
Crystal system ... tetragonal
Excess energy over the best structure of this formula in the dataset ... 0.0 kJ per mole of atoms
Space-group type ... No. 123

***

Record 10
Here is a relaxed structure of CsTaI2N from Alexandria. Energies are from GGA-PBE.

Structure (POSCAR):
```
CsTaI2N
1.0
6.124 0.000 0.000
0.000 6.124 0.000
0.000 0.000 4.014
Cs I N Ta
1 2 1 1
Cartesian
3.062 3.062 2.007 Cs
0.000 3.062 0.000 I
3.062 0.000 0.000 I
0.000 0.000 2.007 N
0.000 0.000 0.000 Ta
```

Uncorrected formation energy ... -0.4086 eV per atom
Crystal system ... tetragonal
Excess energy over the best structure of this formula in the dataset ... 0.0 kJ per mole of atoms
Space-group type ... No. 123

***

Record 11
Here is a relaxed structure of CsTaIN2 from Alexandria. Energies are from GGA-PBE.

Structure (POSCAR):
```
CsTaIN2
1.0
-0.731 0.162 -4.337
-0.064 -4.398 -0.154
-5.658 0.048 0.956
Cs I N Ta
1 1 2 1
Cartesian
-3.227 -2.094 -1.768 Cs
-2.829 0.024 0.478 I
-0.032 -2.199 -0.077 N
-0.366 0.081 -2.169 N
0.000 0.000 0.000 Ta
```

Uncorrected formation energy ... 0.2817 eV per atom
Crystal system ... tetragonal
Excess energy over the best structure of this formula in the dataset ... 0.0 kJ per mole of atoms
Space-group type ... No. 123

***

Record 12
Here is a relaxed structure of CsTaI2N from Alexandria. Energies are from GGA-PBE.

Structure (POSCAR):
```
CsTaI2N
1.0
6.815 0.000 0.000
0.000 6.815 0.000
0.000 0.000 4.607
Cs I N Ta
1 2 1 1
Cartesian
0.000 0.000 0.000 Cs
0.000 3.408 0.000 I
3.408 0.000 0.000 I
0.000 0.000 2.303 N
3.408 3.408 2.303 Ta
```

Uncorrected formation energy ... 2.0483 eV per atom
Crystal system ... tetragonal
Excess energy over the best structure of this formula in the dataset ... 237.1 kJ per mole of atoms
Space-group type ... No. 123